1.
Density functional theory data (PBE) for a relaxed structure of LaTbAg2S4.

Structure (POSCAR):
```
LaTbAg2S4
1.0
-2.950 -6.054 -0.179
2.631 -4.938 -3.118
2.011 -4.837 3.685
Tb Ag S La
1 2 4 1
direct
0.500 0.500 0.500
0.172 0.328 0.328
0.828 0.672 0.672
0.113 0.905 0.412
0.887 0.588 0.095
0.430 0.095 0.588
0.570 0.412 0.905
0.000 0.000 0.000
```

Summary:
* calculated volume: 195.3 Å³/cell
* energy relative to the elements, uncorrected: -1.21 eV/atom
* space-group type: I222
* DFT total energy: -5.1775 eV/atom
* total magnetization: 0.0000 μB/atom

2.
Density functional theory data (PBE) for a relaxed structure of LaAgTeS2.

Structure (POSCAR):
```
LaAgTeS2
1.0
5.281 0.000 0.000
0.000 6.779 0.000
0.000 0.000 5.281
Ag S La Te
1 2 1 1
direct
0.000 0.500 0.000
0.000 0.000 0.500
0.500 0.000 0.000
0.000 0.000 0.000
0.500 0.500 0.500
```

Summary:
* calculated volume: 189.1 Å³/cell
* energy relative to the elements, uncorrected: 0.06 eV/atom
* space-group type: P4/mmm
* DFT total energy: -3.7702 eV/atom
* total magnetization: 0.3983 μB/atom